Material: InFe2Te
Method: DFT, GGA-PBEsol
State: relaxed

Output
space group	No. 123
energy above the most stable polymorph in this dataset	0.0	meV per atom

Cell and atoms, written as POSCAR:
```
InFe2Te
1.0
3.147 0.000 0.000
0.000 3.147 0.000
0.000 0.000 6.293
In Fe Te
1 2 1
Direct
0.000 0.000 0.000
0.500 0.500 0.267
0.500 0.500 0.733
0.000 0.000 0.500
```

=====

Material: TiInFe3
Method: DFT, GGA-PBEsol
State: relaxed

Output
space group	No. 221
ΔE_f	1.622	eV/atom

Cell and atoms, written as POSCAR:
```
TiInFe3
1.0
4.624 0.000 0.000
0.000 4.624 0.000
0.000 0.000 4.624
Ti In Fe
1 1 3
Direct
0.000 0.000 0.000
0.500 0.500 0.500
0.000 0.500 0.500
0.500 0.000 0.500
0.500 0.500 0.000
```

=====

no.,size of the total moment (Bohr magnetons per cell)
1,3.0
2,6.1